# 1
This record from the Alexandria database describes Zr2U after structural relaxation. The functional is GGA-PBE.

Energy of formation from the pure elements: 351.6 meV per atom
Theoretical density: 10.1 g/cm3
Crystal system: hexagonal
Space-group type: P6/mmm
Calculated total energy: -0.3348 Ha/atom

a b c (Å): 5.231 5.231 2.913
angles (deg): 90.00 90.00 120.00
Atoms (fractional coordinates):
Zr 0.333 0.667 0.000
Zr 0.667 0.333 0.000
U 0.000 0.000 0.500

# 2
This record from the Alexandria database describes Zr4U after structural relaxation. The functional is GGA-PBE.

Energy of formation from the pure elements: 836.9 meV per atom
Theoretical density: 7.7 g/cm3
Crystal system: cubic
Space-group type: Pm-3m
Calculated total energy: -0.3035 Ha/atom

a b c (Å): 5.056 5.056 5.056
angles (deg): 90.00 90.00 90.00
Atoms (fractional coordinates):
Zr 0.000 0.000 0.000
Zr 0.000 0.500 0.500
Zr 0.500 0.000 0.500
Zr 0.500 0.500 0.000
U 0.500 0.500 0.500

# 3
This record from the Alexandria database describes ZrU5 after structural relaxation. The functional is GGA-PBE.

Energy of formation from the pure elements: 308.3 meV per atom
Theoretical density: 16.9 g/cm3
Crystal system: orthorhombic
Space-group type: Cmmm
Calculated total energy: -0.3867 Ha/atom

a b c (Å): 8.022 8.022 4.010
angles (deg): 90.00 90.00 150.88
Atoms (fractional coordinates):
Zr 0.000 0.000 0.000
U 0.169 0.831 0.500
U 0.333 0.667 0.000
U 0.500 0.500 0.500
U 0.667 0.333 0.000
U 0.831 0.169 0.500